[1]
The following is a DFT calculation (PBE) of a relaxed DyYRuRh crystal.

Unit cell a=3.4106 b=4.8337 c=4.8356 alpha=90.00 beta=90.00 gamma=90.00
With the nearest neighbours (Å) after each atom.
Sites, in units of the cell vectors:
Y 0.5000 0.0000 0.5000  4 Rh 2.96, 4 Ru 2.96
Dy 0.5000 0.5000 0.0000  4 Ru 2.96, 4 Rh 2.96
Rh 0.0000 0.5000 0.5000  4 Y 2.96, 4 Dy 2.96
Ru 0.0000 0.0000 0.0000  4 Dy 2.96, 4 Y 2.96

Properties
Energy of formation = -0.61 eV/atom
VASP energy = -7.5286 eV per atom

***

[2]
The following is a DFT calculation (PBE) of a relaxed DyYRuRh crystal.

Unit cell a=4.8330 b=4.8330 c=4.8330 alpha=60.00 beta=60.00 gamma=60.00
With the nearest neighbours (Å) after each atom.
Sites, in units of the cell vectors:
Rh 0.2500 0.2500 0.2500  4 Dy 2.96, 4 Y 2.96
Dy 0.0000 0.0000 0.0000  4 Rh 2.96, 4 Ru 2.96
Y 0.5000 0.5000 0.5000  4 Rh 2.96, 4 Ru 2.96
Ru 0.7500 0.7500 0.7500  4 Y 2.96, 4 Dy 2.96

Properties
Energy of formation = -0.61 eV/atom
VASP energy = -7.5289 eV per atom